First-principles (GGA-PBE) data for a relaxed structure of V2FeI, as listed in the Alexandria database.

Values from the calculation:
Relative energy among the computed polymorphs (eV/atom): 0.000

Cell: 4.403 4.403 4.403 Å, 60.00 60.00 60.00°
Atoms (fractional coordinates):
1 Fe 0.000 0.000 0.000
2 V 0.750 0.750 0.750
3 V 0.250 0.250 0.250
4 I 0.500 0.500 0.500

=====

First-principles (GGA-PBE) data for a relaxed structure of Ta3H4Rh2, as listed in the Alexandria database.

Values from the calculation:
VASP energy (eV/cell): -64.38

Cell: 2.857 4.994 6.863 Å, 102.93 90.00 106.62°
Atoms (fractional coordinates):
1 H 0.081 0.161 0.647
2 Rh 0.310 0.619 0.191
3 Ta 0.387 0.774 0.606
4 Ta 0.613 0.226 0.394
5 Rh 0.690 0.381 0.809
6 Ta 0.000 0.000 0.000
7 H 0.919 0.839 0.353
8 H 0.351 0.702 0.892
9 H 0.649 0.298 0.108

=====

First-principles (GGA-PBE) data for a relaxed structure of GaAsSeN2, as listed in the Alexandria database.

Values from the calculation:
Relative energy among the computed polymorphs (eV/atom): 0.000

Cell: 3.698 3.698 6.501 Å, 90.00 90.00 90.00°
Atoms (fractional coordinates):
1 Se 0.000 0.000 0.500
2 N 0.500 0.000 0.000
3 Ga 0.500 0.500 0.500
4 As 0.000 0.000 0.000
5 N 0.000 0.500 0.000

=====

First-principles (GGA-PBE) data for a relaxed structure of Li2La2TmSi2, as listed in the Alexandria database.

Values from the calculation:
VASP energy (eV/cell): -31.83

Cell: 4.415 4.415 9.971 Å, 77.21 77.21 60.00°
Atoms (fractional coordinates):
1 La 0.122 0.122 0.633
2 Si 0.275 0.275 0.175
3 Tm 0.000 0.000 0.000
4 Si 0.725 0.725 0.825
5 La 0.878 0.878 0.367
6 Li 0.383 0.383 0.850
7 Li 0.617 0.617 0.150

=====

First-principles (GGA-PBE) data for a relaxed structure of AsP2I2, as listed in the Alexandria database.

Values from the calculation:
Relative energy among the computed polymorphs (eV/atom): 0.116

Cell: 5.976 5.976 5.585 Å, 57.66 57.66 90.00°
Atoms (fractional coordinates):
1 P 0.360 0.360 0.279
2 I 0.250 0.750 0.500
3 I 0.750 0.250 0.500
4 P 0.640 0.640 0.721
5 As 0.000 0.000 0.000

=====

First-principles (GGA-PBE) data for a relaxed structure of Er7Ga2Pt2, as listed in the Alexandria database.

Values from the calculation:
Energy relative to the elements (eV per atom): -0.57

Cell: 6.675 6.948 6.675 Å, 90.00 107.43 90.00°
Atoms (fractional coordinates):
1 Ga 0.833 0.500 0.833
2 Er 0.000 0.262 0.500
3 Er 0.500 0.738 0.000
4 Er 0.500 0.262 0.000
5 Er 0.000 0.738 0.500
6 Ga 0.167 0.500 0.167
7 Pt 0.710 0.000 0.290
8 Er 0.500 0.744 0.500
9 Er 0.500 0.256 0.500
10 Er 0.000 0.000 0.000
11 Pt 0.290 0.000 0.710

=====

First-principles (GGA-PBE) data for a relaxed structure of CsTi2Cl7, as listed in the Alexandria database.

Values from the calculation:
Relative energy among the computed polymorphs (eV/atom): 0.167

Cell: 4.876 7.767 7.767 Å, 119.06 90.00 90.00°
Atoms (fractional coordinates):
1 Cl 0.000 0.697 0.303
2 Cl 0.500 0.663 0.957
3 Cl 0.000 0.303 0.697
4 Cl 0.500 0.043 0.337
5 Cl 0.500 0.957 0.663
6 Ti 0.500 0.303 0.697
7 Ti 0.500 0.697 0.303
8 Cs 0.000 0.000 0.000
9 Cl 0.500 0.337 0.043
10 Cl 0.500 0.500 0.500

=====

First-principles (GGA-PBE) data for a relaxed structure of RbPb4Au4, as listed in the Alexandria database.

Values from the calculation:
Relative energy among the computed polymorphs (eV/atom): 0.003
Energy relative to the elements (eV per atom): -0.15

Cell: 5.853 9.810 9.810 Å, 90.00 90.00 90.00°
Atoms (fractional coordinates):
1 Au 0.404 0.672 0.829
2 Rb 0.000 0.000 0.000
3 Pb 0.895 0.625 0.869
4 Au 0.096 0.172 0.329
5 Rb 0.500 0.500 0.500
6 Pb 0.605 0.875 0.631
7 Au 0.404 0.328 0.171
8 Au 0.596 0.829 0.328
9 Au 0.096 0.828 0.671
10 Pb 0.605 0.125 0.369
11 Pb 0.895 0.375 0.131
12 Au 0.904 0.329 0.828
13 Pb 0.395 0.369 0.875
14 Au 0.596 0.171 0.672
15 Pb 0.105 0.869 0.375
16 Au 0.904 0.671 0.172
17 Pb 0.105 0.131 0.625
18 Pb 0.395 0.631 0.125

=====

First-principles (GGA-PBE) data for a relaxed structure of RbZr2HgSb, as listed in the Alexandria database.

Values from the calculation:
VASP energy (eV/cell): -19.03

Cell: 5.491 6.754 5.491 Å, 90.00 90.00 90.00°
Atoms (fractional coordinates):
1 Zr 0.000 0.000 0.500
2 Zr 0.500 0.000 0.000
3 Hg 0.500 0.500 0.500
4 Rb 0.000 0.500 0.000
5 Sb 0.000 0.000 0.000

=====

First-principles (GGA-PBE) data for a relaxed structure of BaTiCr3, as listed in the Alexandria database.

Values from the calculation:
Relative energy among the computed polymorphs (eV/atom): 0.000
Energy relative to the elements (eV per atom): 1.11

Cell: 4.914 4.914 4.914 Å, 90.00 90.00 90.00°
Atoms (fractional coordinates):
1 Ti 0.000 0.000 0.000
2 Cr 0.000 0.000 0.500
3 Cr 0.000 0.500 0.000
4 Cr 0.500 0.000 0.000
5 Ba 0.500 0.500 0.500

=====

First-principles (GGA-PBE) data for a relaxed structure of NaMn2Cd2, as listed in the Alexandria database.

Values from the calculation:
Relative energy among the computed polymorphs (eV/atom): 0.000
Energy relative to the elements (eV per atom): 0.30

Cell: 8.308 8.308 2.925 Å, 90.00 90.00 90.00°
Atoms (fractional coordinates):
1 Cd 0.680 0.820 0.500
2 Cd 0.820 0.320 0.500
3 Cd 0.180 0.680 0.500
4 Mn 0.615 0.115 0.000
5 Mn 0.385 0.885 0.000
6 Mn 0.885 0.615 0.000
7 Na 0.500 0.500 0.000
8 Mn 0.115 0.385 0.000
9 Cd 0.320 0.180 0.500
10 Na 0.000 0.000 0.000

=====

First-principles (GGA-PBE) data for a relaxed structure of SiSb2Mo, as listed in the Alexandria database.

Values from the calculation:
VASP energy (eV/cell): -21.96

Cell: 3.107 3.107 9.213 Å, 90.00 90.00 109.40°
Atoms (fractional coordinates):
1 Sb 0.000 0.000 0.517
2 Sb 0.000 0.000 0.983
3 Mo 0.500 0.500 0.750
4 Si 0.500 0.500 0.250

=====

Number 1: N(E_F) 1.1805 states/eV per atom. Number 2: N(E_F) 0.4577 states/eV per atom. Number 3: N(E_F) 0.0655 states/eV per atom. Number 4: N(E_F) 0.6578 states/eV per atom. Number 5: N(E_F) 1.2105 states/eV per atom. Number 6: N(E_F) 0.8477 states/eV per atom. Number 7: N(E_F) 0.4527 states/eV per atom. Number 8: N(E_F) 0.3121 states/eV per atom. Number 9: N(E_F) 1.0282 states/eV per atom. Number 10: N(E_F) 0.5562 states/eV per atom. Number 11: N(E_F) 0.9797 states/eV per atom. Number 12: N(E_F) 0.7859 states/eV per atom.